# 1
Here is crystalline TbCoSn at its relaxed geometry from Alexandria. Energies are from PBE-GGA.

a b c (Å): 3.6197 4.4957 4.4957
angles (deg): 120.00 90.00 90.00
Closest atoms and distances in Å follow each position.
Positions (direct):
Tb 0.6666 0.6667 0.3333  6 Co 3.16, 6 Sn 3.16
Co 0.1669 0.3333 0.6667  3 Sn 2.60
Sn 0.1666 0.0000 0.0000  3 Co 2.60

Values from the calculation:
- calculated total energy (eV per atom) = -5.6278
- ΔE_f (eV/atom) = -0.382
- M_tot (μB/f.u.) = 0.786

# 2
Here is crystalline Zr2NiP at its relaxed geometry from Alexandria. Energies are from PBE-GGA.

a b c (Å): 5.6468 5.6468 5.6468
angles (deg): 144.07 139.07 55.58
Closest atoms and distances in Å follow each position.
Positions (direct):
Zr 0.9984 0.9984 0.0000  4 Ni 2.66, 2 P 2.81
Zr 0.2633 0.7633 0.5000  4 P 2.71, 2 Ni 2.98
P 0.6988 0.1988 0.5000  2 Ni 2.36
Ni 0.5395 0.5395 0.0000  2 P 2.36

Values from the calculation:
- calculated total energy (eV per atom) = -7.7488
- ΔE_f (eV/atom) = -0.677
- M_tot (μB/f.u.) = 0.000

# 3
Here is crystalline AcSm4Si4 at its relaxed geometry from Alexandria. Energies are from PBE-GGA.

a b c (Å): 5.8405 9.5627 9.5627
angles (deg): 90.00 90.00 90.00
Closest atoms and distances in Å follow each position.
Positions (direct):
Sm 0.8761 0.3854 0.1421  5 Si 2.95-3.07
Sm 0.3761 0.3579 0.8854  5 Si 2.95-3.07
Sm 0.6239 0.8854 0.6421  5 Si 2.95-3.07
Sm 0.1239 0.8579 0.3854  5 Si 2.95-3.07
Sm 0.3761 0.6421 0.1146  5 Si 2.95-3.07
Sm 0.1239 0.1421 0.6146  5 Si 2.95-3.07
Sm 0.8761 0.6146 0.8579  5 Si 2.95-3.07
Sm 0.6239 0.1146 0.3579  5 Si 2.95-3.07
Si 0.3827 0.6691 0.8050  1 Si 2.43
Si 0.8827 0.6950 0.1691  1 Si 2.43
Si 0.1173 0.8309 0.6950  1 Si 2.43
Si 0.3827 0.3309 0.1950  1 Si 2.43
Si 0.6173 0.8050 0.3309  1 Si 2.43
Si 0.8827 0.3050 0.8309  1 Si 2.43
Si 0.6173 0.1950 0.6691  1 Si 2.43
Si 0.1173 0.1691 0.3050  1 Si 2.43
Ac 0.0000 0.0000 0.0000  4 Si 3.40
Ac 0.5000 0.5000 0.5000  4 Si 3.40

Values from the calculation:
- E_form (uncorrected) (eV/f.u.) = -4.06
- calculated total energy (eV per atom) = -5.4149
- M_tot (μB/f.u.) = 0.000